Crystalline CrPPbO2 at its relaxed geometry, computed with GGA+U.

a = 4.127 Å, b = 4.127 Å, c = 5.686 Å
α = 90.00°, β = 90.00°, γ = 90.00°
Space group P4/mmm (No. 123)
One atom of each set of equivalent atoms:
Cr: 0.000 0.000 0.000 x1
P: 0.500 0.500 0.000 x1
Pb: 0.500 0.500 0.500 x1
O: 0.000 0.500 0.500 x2

Computed properties:
Its total energy is -5.0802 eV per atom. The calculation puts the excess energy over the best structure of this formula in the dataset at 802 meV/atom.